Below is an optimized crystal structure of LaMgAl4, with properties calculated at the GGA-PBEsol level.

abc: 5.586 5.586 5.586
angles: 60.00 60.00 60.00
Atoms (fractional coordinates):
La1 0.000 0.000 0.000
Mg1 0.750 0.750 0.750
Al1 0.375 0.375 0.375
Al2 0.375 0.375 0.876
Al3 0.375 0.876 0.375
Al4 0.876 0.375 0.375

## Properties
- Calculated formation energy: -0.2053 eV per atom
- Crystal system: cubic
- E: -24.662 eV for the cell shown